Compound: SrZnSbF
Source: Alexandria via LeMat-Bulk
Functional: PBEsol
Structure: relaxed

CIF file:
```
data_SrZnSbF
_space_group_name_H-M_alt 'P 4/n m m'
_space_group_IT_number 129
_cell_length_a 4.267
_cell_length_b 4.267
_cell_length_c 9.344
_cell_angle_alpha 90.00
_cell_angle_beta 90.00
_cell_angle_gamma 90.00
loop_
_space_group_symop_operation_xyz
'x,y,z'
'-x,-y,-z'
'-y+1/2,x,z'
'y+1/2,-x,-z'
'-x+1/2,-y+1/2,z'
'x+1/2,y+1/2,-z'
'y,-x+1/2,z'
'-y,x+1/2,-z'
'x+1/2,-y,-z'
'-x+1/2,y,z'
'-y,-x,-z'
'y,x,z'
'-x,y+1/2,-z'
'x,-y+1/2,z'
'y+1/2,x+1/2,-z'
'-y+1/2,-x+1/2,z'
loop_
_atom_site_label
_atom_site_type_symbol
_atom_site_fract_x
_atom_site_fract_y
_atom_site_fract_z
_atom_site_occupancy
Sr1 Sr 0.250 0.250 0.140 1
Zn1 Zn 0.250 0.750 0.500 1
Sb1 Sb 0.250 0.250 0.680 1
F1 F 0.250 0.750 0.000 1
```

Values from the calculation:
magnetic moment = 0.0 μB per formula unit
Fermi-level density of states = 0.0726 states/eV per atom
formation energy without anion corrections = -1.788 eV per atom
volume = 21.3 Å³ per atom